Record 1
## NaTb2CrO5 (PBE with a Hubbard U)

Data for a relaxed NaTb2CrO5 crystal.

Output
total magnetization = 3.0 μB per formula unit
crystal system = tetragonal
DFT total energy = -7.33 eV/atom

Unit cell a=6.532 b=6.532 c=5.712 alpha=90.00 beta=90.00 gamma=90.00
Fractional coordinates of all 18 atoms:
Na1 0.000 0.000 0.000
Na2 0.500 0.500 0.000
Tb1 0.178 0.322 0.500
Tb2 0.322 0.822 0.500
Tb3 0.678 0.178 0.500
Tb4 0.822 0.678 0.500
Cr1 0.000 0.500 0.000
Cr2 0.500 0.000 0.000
O1 0.000 0.000 0.500
O2 0.138 0.638 0.245
O3 0.138 0.638 0.755
O4 0.362 0.138 0.245
O5 0.362 0.138 0.755
O6 0.500 0.500 0.500
O7 0.638 0.862 0.245
O8 0.638 0.862 0.755
O9 0.862 0.362 0.245
O10 0.862 0.362 0.755


Record 2
## FeGeNF2 (PBE with a Hubbard U)

Data for a relaxed FeGeNF2 crystal.

Output
total magnetization = 4.0 μB per formula unit
crystal system = tetragonal
relative energy among the computed polymorphs = 0.79 eV per formula unit

Unit cell a=4.091 b=4.091 c=3.904 alpha=90.00 beta=90.00 gamma=90.00
Fractional coordinates of all 5 atoms:
Fe1 0.000 0.000 0.000
Ge1 0.500 0.500 0.500
N1 0.500 0.500 0.000
F1 0.000 0.500 0.500
F2 0.500 0.000 0.500


Q: Among the records above, which one has the highest total magnetization?
A: FeGeNF2


Q: What is the total magnetization in the first record?
A: 3.0 μB per formula unit


Q: Which formula does entry 1 have?
A: NaTb2CrO5